Crystalline TaWO6 at its relaxed geometry. Source: Alexandria, functional PBE with a Hubbard U.

Unit cell a=5.5277 b=5.5277 c=5.5277 alpha=60.00 beta=60.00 gamma=60.00
With the nearest neighbours (Å) after each atom.
Positions (direct):
Ta: 0.0000 0.0000 0.0000  6 O 1.98
W: 0.5000 0.5000 0.5000  6 O 1.93
O: 0.2531 0.2531 0.7469  1 W 1.93, 1 Ta 1.98
O: 0.2531 0.7469 0.2531  1 W 1.93, 1 Ta 1.98
O: 0.2531 0.7469 0.7469  1 W 1.93, 1 Ta 1.98
O: 0.7469 0.2531 0.2531  1 W 1.93, 1 Ta 1.98
O: 0.7469 0.2531 0.7469  1 W 1.93, 1 Ta 1.98
O: 0.7469 0.7469 0.2531  1 W 1.93, 1 Ta 1.98

Computed properties:
- VASP energy: -66.0 eV for the cell shown
- SG: Fm-3m